Compound: IrOsAu2
Source: Alexandria
Functional: PBE
Structure: relaxed

Energy above the lowest structure with this stoichiometry ... 1.13 eV per formula unit
Formation energy from the elements ... 0.518 eV per atom
SG ... No. 166

a = 9.428 Å, b = 9.428 Å, c = 9.428 Å
α = 17.21°, β = 17.21°, γ = 17.21°
Fractional positions:
1 Au 0.001 0.001 0.001
2 Au 0.499 0.499 0.499
3 Os 0.750 0.750 0.750
4 Ir 0.250 0.250 0.250